Computed, not measured: a relaxed structure of NdGa4Ag2 at the PBE level of DFT.

Lattice parameters (Å, degrees): 4.1574 4.2320 8.7485 104.00 103.75 90.00
Closest atoms and distances in Å follow each position.
Element x y z (fractional)
Nd  0.5000  0.0000  0.0000  12 Ga 3.21-3.48, 4 Ag 3.54
Ag  0.8256  0.8256  0.6513  3 Ga 2.60-2.68
Ag  0.1744  0.1744  0.3487  3 Ga 2.60-2.68
Ga  0.6675  0.6675  0.3350  2 Ga 2.58, 1 Ag 2.60
Ga  0.3325  0.3325  0.6650  2 Ga 2.58, 1 Ag 2.60
Ga  0.0747  0.5747  0.1495  3 Ga 2.46-2.58, 2 Ag 2.68
Ga  0.9253  0.4253  0.8505  3 Ga 2.46-2.58, 2 Ag 2.68

Output
DFT formation energy in eV/f.u.: -1.6
Size of the total moment in μB/f.u.: 0.00
Raw total energy in eV/f.u.: -24.2
Density of states at the Fermi level in states/eV/f.u.: 3.30